# 1
Computed, not measured: an optimized crystal structure of Sc2RhW at the PBE level of DFT.

The calculation puts the distance to the lowest polymorph of the same formula at 27 kJ/mol of formula units. The density of states at the Fermi level comes out at 3.031 states/eV per cell. The crystal system is tetragonal. The formation energy from the elements is -0.164 eV per atom.

It has space group P4mm (No. 99), with a = 2.979 Å, b = 2.979 Å, c = 8.541 Å, α = 90.00°, β = 90.00° and γ = 90.00°. Symmetry generates all atoms from Sc at (0.000, 0.000, 0.000), Sc at (0.500, 0.500, 0.339), Rh at (0.500, 0.500, 0.777) and W at (0.000, 0.000, 0.580).



# 2
Computed, not measured: an optimized crystal structure of ScRhW2 at the PBE level of DFT.

The calculation puts the distance to the lowest polymorph of the same formula at 39 kJ/mol of formula units. The density of states at the Fermi level comes out at 2.518 states/eV per cell. The crystal system is monoclinic. The formation energy from the elements is -0.034 eV per atom.

It has space group Pm (No. 6), with a = 2.812 Å, b = 4.395 Å, c = 5.422 Å, α = 90.00°, β = 99.90° and γ = 90.00°. Symmetry generates all atoms from Sc at (0.000, 0.000, 0.000), Rh at (0.264, 0.500, 0.767), W at (0.517, 0.000, 0.497) and W at (0.727, 0.500, 0.274).



# 3
Computed, not measured: an optimized crystal structure of ScRhW2 at the PBE level of DFT.

The calculation puts the distance to the lowest polymorph of the same formula at 5 kJ/mol of formula units. The density of states at the Fermi level comes out at 2.756 states/eV per cell. The crystal system is orthorhombic. The formation energy from the elements is -0.120 eV per atom.

It has space group Pmmm (No. 47), with a = 3.194 Å, b = 4.331 Å, c = 4.763 Å, α = 90.00°, β = 90.00° and γ = 90.00°. Symmetry generates all atoms from Sc at (0.000, 0.000, 0.000), Rh at (0.500, 0.500, 0.000), W at (0.000, 0.500, 0.500) and W at (0.500, 0.000, 0.500).



# 4
Computed, not measured: an optimized crystal structure of ScRhW at the PBE level of DFT.

The calculation puts the distance to the lowest polymorph of the same formula at 105 kJ/mol of formula units. The density of states at the Fermi level comes out at 4.917 states/eV per cell. The crystal system is cubic. The formation energy from the elements is 0.174 eV per atom.

It has space group F-43m (No. 216), with a = 6.154 Å, b = 6.154 Å, c = 6.154 Å, α = 90.00°, β = 90.00° and γ = 90.00°. Symmetry generates all atoms from Sc at (0.000, 0.000, 0.000), Rh at (0.250, 0.250, 0.750) and W at (0.000, 0.000, 0.500).